Entry from Alexandria: Al2PtSe after structural relaxation (GGA-PBEsol).

Unit cell a=5.5640 b=7.1973 c=3.1728 alpha=90.00 beta=90.66 gamma=90.00
Closest atoms and distances in Å follow each position.
Space group C2/m (No. 12)
Unique sites:
Al: 0.2500 0.2500 0.0000  4 Se 2.76-2.78, 4 Pt 2.76-2.78, 2 Al 2.78
Pt: 0.0000 0.0000 0.5000  8 Al 2.76-2.78, 2 Se 2.78
Se: 0.0000 0.5000 0.5000  8 Al 2.76-2.78, 2 Pt 2.78

Values from the calculation:
Formation energy without anion corrections, eV per formula unit: -1.26
E_tot, eV/atom: -5.065

---

Entry from Alexandria: CaYCu2 after structural relaxation (GGA-PBEsol).

Unit cell a=6.9257 b=6.9335 c=3.3784 alpha=90.00 beta=90.00 gamma=90.00
Closest atoms and distances in Å follow each position.
Space group Cmmm (No. 65)
Unique sites:
Ca: 0.0000 0.0000 0.0000  8 Cu 2.98
Y: 0.0000 0.5000 0.0000  8 Cu 2.98
Cu: 0.2500 0.2500 0.5000  4 Ca 2.98, 4 Y 2.98

Values from the calculation:
E_tot, eV/atom: -4.508
Energy relative to the elements, eV/f.u.: -0.41